[1]
Computed, not measured: crystalline In2RhSe at its relaxed geometry at the GGA-PBEsol level of DFT.

Output
DOS at the Fermi energy (states/eV per cell): 4.6
ΔE_f (raw) (kJ per mole of atoms): 5

a = 3.709 Å, b = 4.879 Å, c = 8.491 Å
α = 90.00°, β = 90.00°, γ = 90.00°
Space group Immm (No. 71)
Inequivalent atoms, fractional coordinates:
In 0.000 0.000 0.240 x4
Rh 0.000 0.500 0.500 x2
Se 0.000 0.500 0.000 x2


[2]
Computed, not measured: crystalline In2RhSe at its relaxed geometry at the GGA-PBEsol level of DFT.

Output
DOS at the Fermi energy (states/eV per cell): 2.2
ΔE_f (raw) (kJ per mole of atoms): -3

a = 4.769 Å, b = 4.769 Å, c = 3.338 Å
α = 90.00°, β = 90.00°, γ = 90.00°
Space group P4/mmm (No. 123)
Inequivalent atoms, fractional coordinates:
In 0.000 0.500 0.000 x2
Rh 0.000 0.000 0.500 x1
Se 0.500 0.500 0.500 x1


[3]
Computed, not measured: crystalline In2RhSe at its relaxed geometry at the GGA-PBEsol level of DFT.

Output
DOS at the Fermi energy (states/eV per cell): 2.3
ΔE_f (raw) (kJ per mole of atoms): -11

a = 3.468 Å, b = 3.446 Å, c = 6.408 Å
α = 90.00°, β = 97.26°, γ = 90.00°
Space group P2/m (No. 10)
Inequivalent atoms, fractional coordinates:
In 0.023 0.000 0.229 x2
Rh 0.500 0.500 0.000 x1
Se 0.500 0.500 0.500 x1


[4]
Computed, not measured: crystalline InSi2Rh at its relaxed geometry at the GGA-PBEsol level of DFT.

Output
DOS at the Fermi energy (states/eV per cell): 1.8
ΔE_f (raw) (kJ per mole of atoms): -15

a = 2.930 Å, b = 2.930 Å, c = 7.564 Å
α = 90.00°, β = 90.00°, γ = 90.00°
Space group P4/mmm (No. 123)
Inequivalent atoms, fractional coordinates:
In 0.000 0.000 0.000 x1
Si 0.500 0.500 0.303 x2
Rh 0.000 0.000 0.500 x1


[5]
Computed, not measured: crystalline InSiRh2 at its relaxed geometry at the GGA-PBEsol level of DFT.

Output
DOS at the Fermi energy (states/eV per cell): 1.3
ΔE_f (raw) (kJ per mole of atoms): -64

a = 2.886 Å, b = 2.886 Å, c = 6.918 Å
α = 90.00°, β = 90.00°, γ = 90.00°
Space group P4/mmm (No. 123)
Inequivalent atoms, fractional coordinates:
In 0.000 0.000 0.000 x1
Si 0.000 0.000 0.500 x1
Rh 0.500 0.500 0.296 x2


[6]
Computed, not measured: crystalline InSiRh3 at its relaxed geometry at the GGA-PBEsol level of DFT.

Output
DOS at the Fermi energy (states/eV per cell): 4.0
ΔE_f (raw) (kJ per mole of atoms): 155

a = 4.726 Å, b = 4.726 Å, c = 4.726 Å
α = 90.00°, β = 90.00°, γ = 90.00°
Space group Pm-3m (No. 221)
Inequivalent atoms, fractional coordinates:
In 0.000 0.000 0.000 x1
Si 0.500 0.500 0.500 x1
Rh 0.000 0.000 0.500 x3


[7]
Computed, not measured: crystalline InSiRh2 at its relaxed geometry at the GGA-PBEsol level of DFT.

Output
DOS at the Fermi energy (states/eV per cell): 1.2
ΔE_f (raw) (kJ per mole of atoms): -52

a = 2.954 Å, b = 3.046 Å, c = 7.035 Å
α = 90.00°, β = 90.00°, γ = 90.00°
Space group Pmm2 (No. 25)
Inequivalent atoms, fractional coordinates:
In 0.000 0.000 0.000 x1
Si 0.000 0.500 0.491 x1
Rh 0.500 0.000 0.335 x1
Rh 0.500 0.500 0.748 x1


[8]
Computed, not measured: crystalline InSi2Rh at its relaxed geometry at the GGA-PBEsol level of DFT.

Output
DOS at the Fermi energy (states/eV per cell): 3.6
ΔE_f (raw) (kJ per mole of atoms): 13

a = 5.281 Å, b = 9.619 Å, c = 3.072 Å
α = 90.00°, β = 124.34°, γ = 90.00°
Space group C2/m (No. 12)
Inequivalent atoms, fractional coordinates:
In 0.000 0.000 0.000 x2
Si 0.250 0.250 0.000 x4
Rh 0.000 0.500 0.000 x2


[9]
Computed, not measured: crystalline InSi2Rh at its relaxed geometry at the GGA-PBEsol level of DFT.

Output
DOS at the Fermi energy (states/eV per cell): 3.1
ΔE_f (raw) (kJ per mole of atoms): -14

a = 3.313 Å, b = 3.635 Å, c = 11.588 Å
α = 90.00°, β = 90.00°, γ = 90.00°
Space group Amm2 (No. 38)
Inequivalent atoms, fractional coordinates:
In 0.000 0.000 0.000 x2
Si 0.000 0.000 0.771 x2
Si 0.500 0.000 0.254 x2
Rh 0.500 0.000 0.618 x2


[10]
Computed, not measured: crystalline SmInRh at its relaxed geometry at the GGA-PBEsol level of DFT.

Output
Energy of formation (eV per atom): -0.72
DOS at the Fermi energy (states/eV per cell): 6.5

a = 7.4509 Å, b = 7.4509 Å, c = 3.9545 Å
α = 90.00°, β = 90.00°, γ = 120.00°
Space group P-62m (No. 189)
Inequivalent atoms, fractional coordinates:
Sm 0.0000 0.4092 0.0000 x3
In 0.0000 0.7468 0.5000 x3
Rh 0.0000 0.0000 0.0000 x1
Rh 0.3333 0.6667 0.5000 x2


[11]
Computed, not measured: crystalline SrIn8Rh2 at its relaxed geometry at the GGA-PBEsol level of DFT.

Output
Energy of formation (eV per atom): -0.39
DOS at the Fermi energy (states/eV per cell): 11.1

a = 13.816 Å, b = 16.125 Å, c = 4.345 Å
α = 90.00°, β = 90.00°, γ = 90.00°
Space group Pbam (No. 55)
Inequivalent atoms, fractional coordinates:
Sr 0.157 0.181 0.000 x4
In 0.000 0.000 0.000 x2
In 0.000 0.500 0.500 x2
In 0.021 0.866 0.500 x4
In 0.050 0.317 0.500 x4
In 0.101 0.747 0.000 x4
In 0.159 0.456 0.000 x4
In 0.167 0.622 0.500 x4
In 0.170 0.011 0.500 x4
In 0.241 0.823 0.500 x4
Rh 0.035 0.595 0.000 x4
Rh 0.154 0.904 0.000 x4


[12]
Computed, not measured: crystalline SrIn2Rh2 at its relaxed geometry at the GGA-PBEsol level of DFT.

Output
Energy of formation (eV per atom): -0.35
DOS at the Fermi energy (states/eV per cell): 3.0

a = 4.575 Å, b = 4.575 Å, c = 10.635 Å
α = 90.00°, β = 90.00°, γ = 90.00°
Space group I4/mmm (No. 139)
Inequivalent atoms, fractional coordinates:
Sr 0.000 0.000 0.000 x2
In 0.000 0.000 0.366 x4
Rh 0.000 0.500 0.250 x4


[13]
Computed, not measured: crystalline SrInRh2 at its relaxed geometry at the GGA-PBEsol level of DFT.

Output
Energy of formation (eV per atom): -0.20
DOS at the Fermi energy (states/eV per cell): 1.7

a = 3.321 Å, b = 3.321 Å, c = 6.908 Å
α = 90.00°, β = 90.00°, γ = 90.00°
Space group P4/mmm (No. 123)
Inequivalent atoms, fractional coordinates:
Sr 0.000 0.000 0.000 x1
In 0.000 0.000 0.500 x1
Rh 0.500 0.500 0.293 x2


[14]
Computed, not measured: crystalline SrIn2Rh2 at its relaxed geometry at the GGA-PBEsol level of DFT.

Output
Energy of formation (eV per atom): -0.35
DOS at the Fermi energy (states/eV per cell): 3.8

a = 7.972 Å, b = 7.972 Å, c = 3.054 Å
α = 90.00°, β = 90.00°, γ = 90.00°
Space group P4/mbm (No. 127)
Inequivalent atoms, fractional coordinates:
Sr 0.000 0.000 0.000 x2
In 0.128 0.372 0.000 x4
Rh 0.169 0.669 0.500 x4


[15]
Computed, not measured: crystalline SrInRh2 at its relaxed geometry at the GGA-PBEsol level of DFT.

Output
Energy of formation (eV per atom): -0.26
DOS at the Fermi energy (states/eV per cell): 10.0

a = 4.5730 Å, b = 4.5730 Å, c = 15.6307 Å
α = 90.00°, β = 90.00°, γ = 120.00°
Space group R-3m (No. 166, hexagonal axes)
Inequivalent atoms, fractional coordinates:
Sr 0.0000 0.0000 0.0000 x3
In 0.0000 0.0000 0.5000 x3
Rh 0.0000 0.0000 0.1833 x6


[16]
Computed, not measured: crystalline Sr2InRh at its relaxed geometry at the GGA-PBEsol level of DFT.

Output
Energy of formation (eV per atom): -0.30
DOS at the Fermi energy (states/eV per cell): 4.7

a = 4.483 Å, b = 4.593 Å, c = 11.549 Å
α = 90.00°, β = 90.00°, γ = 90.00°
Space group Amm2 (No. 38)
Inequivalent atoms, fractional coordinates:
Sr 0.000 0.000 0.000 x2
Sr 0.500 0.000 0.285 x2
In 0.000 0.000 0.701 x2
Rh 0.500 0.000 0.581 x2


[17]
Computed, not measured: crystalline Sr2TaInRh at its relaxed geometry at the GGA-PBEsol level of DFT.

Output
Energy of formation (eV per atom): 1.48
DOS at the Fermi energy (states/eV per cell): 8.2

a = 5.851 Å, b = 5.851 Å, c = 5.146 Å
α = 90.00°, β = 90.00°, γ = 90.00°
Space group P4/mmm (No. 123)
Inequivalent atoms, fractional coordinates:
Sr 0.000 0.500 0.000 x2
Ta 0.000 0.000 0.500 x1
In 0.000 0.000 0.000 x1
Rh 0.500 0.500 0.500 x1


[18]
Computed, not measured: crystalline Ta2InRh2 at its relaxed geometry at the GGA-PBEsol level of DFT.

Output
Energy of formation (eV per atom): -0.34
DOS at the Fermi energy (states/eV per cell): 4.9

a = 7.579 Å, b = 7.579 Å, c = 2.926 Å
α = 90.00°, β = 90.00°, γ = 90.00°
Space group P4/mbm (No. 127)
Inequivalent atoms, fractional coordinates:
Ta 0.164 0.336 0.000 x4
In 0.000 0.000 0.500 x2
Rh 0.129 0.629 0.500 x4


[19]
Computed, not measured: crystalline Ta2InRh2 at its relaxed geometry at the GGA-PBEsol level of DFT.

Output
Energy of formation (eV per atom): -0.07
DOS at the Fermi energy (states/eV per cell): 7.2

a = 4.301 Å, b = 4.301 Å, c = 10.275 Å
α = 90.00°, β = 90.00°, γ = 90.00°
Space group I4/mmm (No. 139)
Inequivalent atoms, fractional coordinates:
Ta 0.000 0.500 0.250 x4
In 0.000 0.000 0.000 x2
Rh 0.000 0.000 0.379 x4


[20]
Computed, not measured: crystalline TbIn4Rh at its relaxed geometry at the GGA-PBEsol level of DFT.

Output
Energy of formation (eV per atom): -0.47
DOS at the Fermi energy (states/eV per cell): 8.1

a = 4.442 Å, b = 16.505 Å, c = 7.158 Å
α = 90.00°, β = 90.00°, γ = 90.00°
Space group Cmcm (No. 63)
Inequivalent atoms, fractional coordinates:
Tb 0.000 0.128 0.250 x4
In 0.000 0.064 0.750 x4
In 0.000 0.318 0.046 x8
In 0.000 0.500 0.000 x4
Rh 0.000 0.223 0.750 x4